Below is an optimized crystal structure of CoPC, with properties calculated at the GGA-PBE level.

```
CoPC
1.0
-1.4234 0.4986 2.3828
-2.5429 -2.2148 -1.0556
3.5591 -5.6645 3.3113
P C Co
2 2 2
direct
0.0000 0.0000 0.3542 P
0.0000 0.5000 0.8542 P
0.5000 0.0000 0.2031 C
0.5000 0.5000 0.7031 C
0.0000 0.0000 0.0315 Co
0.0000 0.5000 0.5315 Co
```

Results
Magnetic moment ... 0.00 μB/atom
E_tot ... -6.738 eV/atom
E_form ... 0.509 eV per atom
Symmetry ... Amm2 (38)

Below is an optimized crystal structure of LaCe2HoHg4, with properties calculated at the GGA-PBE level.

```
LaCe2HoHg4
1.0
-0.1039 -4.0670 -3.5396
4.2687 -0.9340 -3.1600
4.7491 -7.1021 3.9131
La Ce Ho Hg
1 2 1 4
direct
0.0000 0.0000 0.0000 La
0.7494 0.7494 0.7517 Ce
0.2506 0.2506 0.2483 Ce
0.5000 0.5000 0.5000 Ho
0.3795 0.3795 0.8614 Hg
0.8717 0.8717 0.3848 Hg
0.1283 0.1283 0.6152 Hg
0.6205 0.6205 0.1386 Hg
```

Results
Magnetic moment ... 0.43 μB/atom
E_tot ... -3.197 eV/atom
E_form ... -0.374 eV per atom
Symmetry ... R-3m (166)